(1)
DFT (PBE-GGA) results for a relaxed structure of CuMoPdRh.

Cell and atoms, written as POSCAR:
```
CuMoPdRh
1.0
0.000 3.076 3.076
3.076 0.000 3.076
3.076 3.076 0.000
Cu Mo Pd Rh
1 1 1 1
Cartesian
0.000 0.000 0.000
3.076 3.076 3.076
4.614 4.614 4.614
1.538 1.538 1.538
```

Computed properties:
Final energy = -27.07 eV for the cell shown
ΔE_f = 0.1009 eV/atom
D(E_F) = 1.0943 states/eV per atom

---

(2)
DFT (PBE-GGA) results for a relaxed structure of CaRh2S.

Cell and atoms, written as POSCAR:
```
CaRh2S
1.0
-2.382 2.382 7.683
2.382 -2.382 7.683
2.382 2.382 -7.683
Ca Rh S
2 4 2
Cartesian
0.000 0.000 0.000
0.000 2.382 3.841
1.191 -0.396 5.762
1.986 1.191 1.921
1.191 2.778 -1.921
0.396 1.191 9.603
2.382 0.000 3.841
0.000 0.000 7.683
```

Computed properties:
Final energy = -45.41 eV for the cell shown
E_form (uncorrected) = -181 kJ/mol of formula units
D(E_F) = 0.0368 states/eV per atom

---

(3)
DFT (PBE-GGA) results for a relaxed structure of PuCrAs2.

Cell and atoms, written as POSCAR:
```
PuCrAs2
1.0
1.983 1.145 5.960
-1.983 1.145 5.960
0.000 -2.290 5.960
Pu Cr As
1 1 2
Cartesian
0.000 0.000 0.000
0.000 0.000 8.940
0.000 0.000 4.227
0.000 0.000 13.653
```

Computed properties:
Final energy = -35.51 eV for the cell shown
ΔE_f = -0.5627 eV/atom
D(E_F) = 2.2151 states/eV per atom

---

(4)
DFT (PBE-GGA) results for a relaxed structure of AlTl2Hg.

Cell and atoms, written as POSCAR:
```
AlTl2Hg
1.0
-1.738 2.690 5.704
1.738 -2.690 5.704
1.738 2.690 -5.704
Al Tl Hg
1 2 1
Cartesian
0.000 0.000 0.000
0.000 0.000 5.435
0.000 2.690 3.047
1.738 0.000 2.269
```

Computed properties:
Final energy = -8.21 eV for the cell shown
Energy relative to the lowest polymorph listed for this composition = 2.5 kJ per mole of atoms
ΔE_f = 0.1417 eV/atom
D(E_F) = 0.3877 states/eV per atom

---

(5)
DFT (PBE-GGA) results for a relaxed structure of NbNiHg2.

Cell and atoms, written as POSCAR:
```
NbNiHg2
1.0
-3.738 3.738 2.773
3.738 -3.738 2.773
3.738 3.738 -2.773
Nb Ni Hg
2 2 4
Cartesian
0.000 0.000 0.000
0.000 3.738 1.386
3.738 0.000 1.386
0.000 0.000 2.773
1.869 -1.633 2.079
2.105 1.869 0.693
1.869 5.371 -0.693
1.633 1.869 3.466
```

Computed properties:
Final energy = -27.93 eV for the cell shown
ΔE_f = 0.6221 eV/atom
D(E_F) = 1.1866 states/eV per atom

---

(6)
DFT (PBE-GGA) results for a relaxed structure of KBiF2.

Cell and atoms, written as POSCAR:
```
KBiF2
1.0
1.841 1.063 7.668
-1.841 1.063 7.668
0.000 -2.126 7.668
K Bi F
1 1 2
Cartesian
0.000 0.000 0.000
0.000 0.000 11.502
0.000 0.000 9.199
0.000 0.000 13.805
```

Computed properties:
Final energy = -17.15 eV for the cell shown
E_form (uncorrected) = -813 kJ/mol of formula units
Energy relative to the lowest polymorph listed for this composition = 0.0 kJ per mole of atoms
D(E_F) = 0.1343 states/eV per atom

---

(7)
DFT (PBE-GGA) results for a relaxed structure of MnCuCSeN.

Cell and atoms, written as POSCAR:
```
MnCuCSeN
1.0
4.464 0.000 0.000
0.000 3.357 0.000
-1.190 0.000 5.136
Mn Cu C Se N
1 1 1 1 1
Cartesian
0.000 0.000 0.000
2.347 1.679 3.075
1.643 0.000 4.067
-0.043 1.679 1.676
0.465 0.000 4.414
```

Computed properties:
Final energy = -33.36 eV for the cell shown
E_form (uncorrected) = 91 kJ/mol of formula units
Energy relative to the lowest polymorph listed for this composition = 7.5 kJ per mole of atoms
D(E_F) = 0.5763 states/eV per atom

---

(8)
DFT (PBE-GGA) results for a relaxed structure of RhW2C.

Cell and atoms, written as POSCAR:
```
RhW2C
1.0
1.494 0.863 6.815
-1.494 0.863 6.815
0.000 -1.725 6.815
Rh W C
1 2 1
Cartesian
0.000 0.000 0.000
0.000 0.000 11.460
0.000 0.000 15.804
0.000 0.000 3.394
```

Computed properties:
Final energy = -42.43 eV for the cell shown
ΔE_f = 0.0134 eV/atom
D(E_F) = 0.5686 states/eV per atom

---

(9)
DFT (PBE-GGA) results for a relaxed structure of MgB3I.

Cell and atoms, written as POSCAR:
```
MgB3I
1.0
4.478 0.000 0.000
0.000 4.478 0.000
0.000 0.000 4.478
Mg B I
1 3 1
Cartesian
0.000 0.000 0.000
0.000 2.239 2.239
2.239 0.000 2.239
2.239 2.239 0.000
2.239 2.239 2.239
```

Computed properties:
Final energy = -11.19 eV for the cell shown
E_form (uncorrected) = 1157 kJ/mol of formula units
Energy relative to the lowest polymorph listed for this composition = 20.2 kJ per mole of atoms
D(E_F) = 0.4926 states/eV per atom

---

(10)
DFT (PBE-GGA) results for a relaxed structure of Y2InC.

Cell and atoms, written as POSCAR:
```
Y2InC
1.0
3.569 0.000 0.000
-1.785 3.091 0.000
0.000 0.000 8.313
Y In C
2 1 1
Cartesian
0.000 0.000 1.443
0.000 0.000 6.870
0.000 2.061 4.157
1.785 1.030 0.000
```

Computed properties:
Final energy = -25.54 eV for the cell shown
ΔE_f = -0.1636 eV/atom
D(E_F) = 0.8260 states/eV per atom

---

(11)
DFT (PBE-GGA) results for a relaxed structure of CsBa3Ag4I12.

Cell and atoms, written as POSCAR:
```
CsBa3Ag4I12
1.0
8.561 4.943 4.475
-8.561 4.943 4.475
0.000 -9.885 4.475
Cs Ba Ag I
1 3 4 12
Cartesian
0.000 0.000 0.000
-4.714 -1.721 4.475
3.847 -3.222 4.475
0.866 4.943 4.475
-3.716 -6.436 6.713
0.000 0.000 6.713
-3.716 6.436 6.713
7.431 0.000 6.713
-5.529 -4.438 6.443
-6.835 0.000 6.713
-1.078 -7.007 6.982
-2.737 0.000 6.713
-5.529 4.438 6.982
3.418 -5.920 6.713
1.369 -2.371 6.713
-1.078 7.007 6.443
1.369 2.371 6.713
6.608 -2.570 6.443
3.418 5.920 6.713
6.608 2.570 6.982
```

Computed properties:
Final energy = -56.19 eV for the cell shown
E_form (uncorrected) = -1888 kJ/mol of formula units
D(E_F) = 0.8656 states/eV per atom

---

(12)
DFT (PBE-GGA) results for a relaxed structure of Sc3Au2.

Cell and atoms, written as POSCAR:
```
Sc3Au2
1.0
1.771 1.022 10.469
-1.771 1.022 10.469
0.000 -2.045 10.469
Sc Au
3 2
Cartesian
0.000 0.000 0.000
0.000 0.000 6.566
0.000 0.000 24.842
0.000 0.000 12.423
0.000 0.000 18.985
```

Computed properties:
Final energy = -27.57 eV for the cell shown
Energy relative to the lowest polymorph listed for this composition = 24.6 kJ per mole of atoms
ΔE_f = -0.4047 eV/atom
D(E_F) = 1.3462 states/eV per atom

---

(13)
DFT (PBE-GGA) results for a relaxed structure of Rb2BaOsBr6.

Cell and atoms, written as POSCAR:
```
Rb2BaOsBr6
1.0
0.000 5.661 5.661
5.661 0.000 5.661
5.661 5.661 0.000
Rb Ba Os Br
2 1 1 6
Cartesian
2.831 2.831 2.831
8.492 8.492 8.492
0.000 0.000 0.000
5.661 5.661 5.661
5.661 5.661 3.121
5.661 3.121 5.661
8.201 5.661 5.661
3.121 5.661 5.661
5.661 8.201 5.661
5.661 5.661 8.201
```

Computed properties:
Final energy = -36.50 eV for the cell shown
E_form (uncorrected) = -1097 kJ/mol of formula units
D(E_F) = 0.0000 states/eV per atom

---

(14)
DFT (PBE-GGA) results for a relaxed structure of La2TiCo.

Cell and atoms, written as POSCAR:
```
La2TiCo
1.0
0.000 3.634 3.634
3.634 0.000 3.634
3.634 3.634 0.000
La Ti Co
2 1 1
Cartesian
1.817 1.817 1.817
5.452 5.452 5.452
0.000 0.000 0.000
3.634 3.634 3.634
```

Computed properties:
Final energy = -23.47 eV for the cell shown
Energy relative to the lowest polymorph listed for this composition = 0.0 kJ per mole of atoms
ΔE_f = 0.3470 eV/atom
D(E_F) = 1.5885 states/eV per atom

---

(15)
DFT (PBE-GGA) results for a relaxed structure of Pm2Nd3TmS6.

Cell and atoms, written as POSCAR:
```
Pm2Nd3TmS6
1.0
3.472 -6.032 0.000
3.472 6.032 0.000
-2.320 0.000 6.581
Pm Nd Tm S
2 3 1 6
Cartesian
3.472 4.015 0.000
3.472 -4.015 0.000
-1.160 0.000 3.291
2.312 2.071 3.291
2.312 -2.071 3.291
3.472 0.000 0.000
0.035 1.944 5.008
1.233 0.000 1.599
0.035 -1.944 5.008
4.589 1.944 1.573
3.391 0.000 4.982
4.589 -1.944 1.573
```

Computed properties:
Final energy = -77.23 eV for the cell shown
E_form (uncorrected) = -2334 kJ/mol of formula units
D(E_F) = 0.4257 states/eV per atom

---

(16)
DFT (PBE-GGA) results for a relaxed structure of Tl2SiSb.

Cell and atoms, written as POSCAR:
```
Tl2SiSb
1.0
4.333 0.000 0.000
0.000 4.333 0.000
0.000 0.000 5.815
Tl Si Sb
2 1 1
Cartesian
0.000 2.167 0.000
2.167 0.000 0.000
0.000 0.000 2.907
2.167 2.167 2.907
```

Computed properties:
Final energy = -12.82 eV for the cell shown
E_form (uncorrected) = 141 kJ/mol of formula units
Energy relative to the lowest polymorph listed for this composition = 20.7 kJ per mole of atoms
D(E_F) = 0.2272 states/eV per atom

---

(17)
DFT (PBE-GGA) results for a relaxed structure of TbDy2Br.

Cell and atoms, written as POSCAR:
```
TbDy2Br
1.0
1.820 1.051 10.220
-1.820 1.051 10.220
0.000 -2.101 10.220
Tb Dy Br
1 2 1
Cartesian
0.000 0.000 0.000
0.000 0.000 7.437
0.000 0.000 23.222
0.000 0.000 15.330
```

Computed properties:
Final energy = -17.58 eV for the cell shown
E_form (uncorrected) = -200 kJ/mol of formula units
D(E_F) = 0.9870 states/eV per atom

---

(18)
DFT (PBE-GGA) results for a relaxed structure of KCd2Cu.

Cell and atoms, written as POSCAR:
```
KCd2Cu
1.0
-2.842 2.842 8.714
2.842 -2.842 8.714
2.842 2.842 -8.714
K Cd Cu
2 4 2
Cartesian
0.000 0.000 0.000
0.000 2.842 4.357
1.421 -0.144 6.536
2.698 1.421 2.179
1.421 2.987 -2.179
0.144 1.421 10.893
2.842 0.000 4.357
0.000 0.000 8.714
```

Computed properties:
Final energy = -12.65 eV for the cell shown
Energy relative to the lowest polymorph listed for this composition = 13.8 kJ per mole of atoms
ΔE_f = 0.1742 eV/atom
D(E_F) = 0.4029 states/eV per atom

---

(19)
DFT (PBE-GGA) results for a relaxed structure of Tl2Si3Te9.

Cell and atoms, written as POSCAR:
```
Tl2Si3Te9
1.0
5.515 -8.751 0.000
5.515 8.751 0.000
-4.095 0.000 9.786
Tl Si Te
4 6 18
Cartesian
1.765 5.893 6.813
5.169 5.893 2.972
1.765 -5.893 6.813
5.169 -5.893 2.972
-0.053 2.066 8.141
2.462 0.000 1.398
-0.053 -2.066 8.141
6.987 2.066 1.645
4.473 0.000 8.388
6.987 -2.066 1.645
2.066 4.967 3.392
-2.231 2.087 9.736
-0.962 0.000 6.752
1.014 0.000 3.477
-2.231 -2.087 9.736
5.515 3.596 0.000
4.868 4.967 6.394
2.433 1.394 7.007
4.501 1.394 2.779
2.433 -1.394 7.007
4.501 -1.394 2.779
2.066 -4.967 3.392
5.515 -3.596 0.000
9.165 2.087 0.050
5.921 0.000 6.309
7.897 0.000 3.034
9.165 -2.087 0.050
4.868 -4.967 6.394
```

Computed properties:
Final energy = -96.09 eV for the cell shown
E_form (uncorrected) = 119 kJ/mol of formula units
D(E_F) = 0.6026 states/eV per atom

---

(20)
DFT (PBE-GGA) results for a relaxed structure of CeAgSn2.

Cell and atoms, written as POSCAR:
```
CeAgSn2
1.0
3.683 0.000 0.000
0.000 3.683 0.000
0.000 0.000 7.364
Ce Ag Sn
1 1 2
Cartesian
0.000 0.000 0.000
0.000 0.000 3.682
1.842 1.842 2.125
1.842 1.842 5.239
```

Computed properties:
Final energy = -17.63 eV for the cell shown
ΔE_f = -0.2109 eV/atom
D(E_F) = 1.9518 states/eV per atom

---

(21)
DFT (PBE-GGA) results for a relaxed structure of BeSn3Pb.

Cell and atoms, written as POSCAR:
```
BeSn3Pb
1.0
5.053 0.000 0.000
0.000 5.053 0.000
0.000 0.000 5.053
Be Sn Pb
1 3 1
Cartesian
0.000 0.000 0.000
0.000 0.000 2.526
0.000 2.526 0.000
2.526 0.000 0.000
2.526 2.526 2.526
```

Computed properties:
Final energy = -17.99 eV for the cell shown
Energy relative to the lowest polymorph listed for this composition = 0.0 kJ per mole of atoms
ΔE_f = 0.2896 eV/atom
D(E_F) = 0.6160 states/eV per atom

---

(22)
DFT (PBE-GGA) results for a relaxed structure of Tm4MgRh2.

Cell and atoms, written as POSCAR:
```
Tm4MgRh2
1.0
6.576 0.000 0.000
0.095 6.944 0.000
2.887 3.023 7.206
Tm Mg Rh
8 2 4
Cartesian
0.000 0.000 0.000
2.803 6.484 6.853
2.408 6.495 3.433
3.240 2.937 3.781
3.144 2.674 0.472
3.326 6.264 0.176
5.500 7.389 4.778
5.430 5.058 2.505
7.156 4.145 4.985
6.961 2.169 2.615
1.524 4.561 1.681
4.530 4.745 5.455
4.613 0.876 2.076
8.041 8.431 5.376
```

Computed properties:
Final energy = -76.55 eV for the cell shown
ΔE_f = -0.5844 eV/atom
D(E_F) = 0.7649 states/eV per atom

---

(23)
DFT (PBE-GGA) results for a relaxed structure of LaCrCo2.

Cell and atoms, written as POSCAR:
```
LaCrCo2
1.0
2.019 1.166 5.165
-2.019 1.166 5.165
0.000 -2.332 5.165
La Cr Co
1 1 2
Cartesian
0.000 0.000 0.000
0.000 0.000 12.606
0.000 0.000 2.947
0.000 0.000 7.680
```

Computed properties:
Final energy = -28.10 eV for the cell shown
ΔE_f = 0.1667 eV/atom
D(E_F) = 1.1940 states/eV per atom

---

(24)
DFT (PBE-GGA) results for a relaxed structure of K4Re3.

Cell and atoms, written as POSCAR:
```
K4Re3
1.0
5.362 0.000 0.000
-2.681 4.643 0.000
0.000 0.000 6.872
K Re
4 3
Cartesian
0.000 0.000 1.584
0.000 0.000 5.288
0.000 3.096 0.000
2.681 1.548 0.000
-1.340 2.322 3.436
2.681 0.000 3.436
1.340 2.322 3.436
```

Computed properties:
Final energy = -32.61 eV for the cell shown
ΔE_f = 1.3037 eV/atom
D(E_F) = 0.9515 states/eV per atom

---

(25)
DFT (PBE-GGA) results for a relaxed structure of Ti3Re.

Cell and atoms, written as POSCAR:
```
Ti3Re
1.0
-1.868 1.868 4.605
1.868 -1.868 4.605
1.868 1.868 -4.605
Ti Re
3 1
Cartesian
0.000 0.000 0.000
1.868 0.000 2.303
0.000 1.868 2.303
0.000 0.000 4.605
```

Computed properties:
Final energy = -36.35 eV for the cell shown
ΔE_f = -0.0538 eV/atom
D(E_F) = 1.5034 states/eV per atom

---

(26)
DFT (PBE-GGA) results for a relaxed structure of CsRh3F.

Cell and atoms, written as POSCAR:
```
CsRh3F
1.0
4.643 0.000 0.000
0.000 4.643 0.000
0.000 0.000 4.643
Cs Rh F
1 3 1
Cartesian
0.000 0.000 0.000
0.000 2.322 2.322
2.322 0.000 2.322
2.322 2.322 0.000
2.322 2.322 2.322
```

Computed properties:
Final energy = -19.98 eV for the cell shown
E_form (uncorrected) = 463 kJ/mol of formula units
D(E_F) = 1.4321 states/eV per atom